A relaxed structure of Hg2SbF8, computed with GGA-PBE.

a b c (Å): 7.2972 7.2972 4.4259
angles (deg): 90.00 90.00 120.00
With the nearest neighbours (Å) after each atom.
Space group P-3m1 (No. 164)
Unique sites:
Hg (0.3333, 0.6667, 0.2309) x2  2 F 2.21-2.22
Sb (0.0000, 0.0000, 0.5000) x1  6 F 1.93
F (0.1268, 0.2537, 0.2580) x6  1 Sb 1.93
F (0.3333, 0.6667, 0.7320) x2  2 Hg 2.21-2.22

Summary:
- electronic total energy (eV per formula unit) = -39.5
- raw formation energy (eV per atom) = -1.80
- energy above the lowest structure with this stoichiometry (eV/atom) = 0.0322
- magnetic moment (Bohr magnetons per cell) = 0.000

A relaxed structure of HgSb2F6, computed with GGA-PBE.

a b c (Å): 13.6458 8.7082 8.1173
angles (deg): 90.00 126.40 90.00
With the nearest neighbours (Å) after each atom.
Space group C2/c (No. 15)
Unique sites:
Hg (0.0000, 0.2500, 0.2500) x4  8 F 3.21-3.53
Sb (0.2498, 0.0632, 0.2884) x8  3 F 1.94-2.07
F (0.1241, 0.0648, 0.9952) x8  1 Sb 1.94
F (0.1244, 0.4357, 0.7538) x8  1 Sb 1.94
F (0.2496, 0.1730, 0.7591) x8  1 Sb 2.07

Summary:
- electronic total energy (eV per formula unit) = -38.0
- raw formation energy (eV per atom) = -2.03
- magnetic moment (Bohr magnetons per cell) = 0.000

A relaxed structure of Hg12Sb3F5, computed with GGA-PBE.

a b c (Å): 16.2427 16.2427 16.2427
angles (deg): 90.00 90.00 90.00
With the nearest neighbours (Å) after each atom.
Space group Ia-3d (No. 230)
Unique sites:
Hg (0.0314, 0.0724, 0.6491) x96  2 F 2.53-2.74
Sb (0.0000, 0.2500, 0.1250) x24  8 Hg 2.96-3.24
F (0.0000, 0.0000, 0.0000) x16  6 Hg 2.74
F (0.0000, 0.2500, 0.3750) x24  4 Hg 2.53

Summary:
- electronic total energy (eV per formula unit) = -33.7
- raw formation energy (eV per atom) = -0.42
- magnetic moment (Bohr magnetons per cell) = 0.000

A relaxed structure of Hg2SbF, computed with GGA-PBE.

a b c (Å): 7.0148 7.0148 7.0148
angles (deg): 90.00 90.00 90.00
With the nearest neighbours (Å) after each atom.
Space group Fm-3m (No. 225)
Unique sites:
Hg (0.2500, 0.2500, 0.2500) x8  4 F 3.04, 4 Sb 3.04
Sb (0.0000, 0.0000, 0.0000) x4  8 Hg 3.04
F (0.0000, 0.0000, 0.5000) x4  8 Hg 3.04

Summary:
- electronic total energy (eV per formula unit) = -8.1
- raw formation energy (eV per atom) = -0.37
- energy above the lowest structure with this stoichiometry (eV/atom) = 0.0762
- magnetic moment (Bohr magnetons per cell) = 0.000

A relaxed structure of HgSbF3, computed with GGA-PBE.

a b c (Å): 4.5317 4.5317 4.5317
angles (deg): 90.00 90.00 90.00
With the nearest neighbours (Å) after each atom.
Space group Pm-3m (No. 221)
Unique sites:
Hg (0.0000, 0.0000, 0.0000) x1  12 F 3.20
Sb (0.5000, 0.5000, 0.5000) x1  6 F 2.27
F (0.0000, 0.5000, 0.5000) x3  2 Sb 2.27

Summary:
- electronic total energy (eV per formula unit) = -18.5
- raw formation energy (eV per atom) = -1.69
- energy above the lowest structure with this stoichiometry (eV/atom) = 0.1284
- magnetic moment (Bohr magnetons per cell) = 0.000

A relaxed structure of Hg2Sb2F, computed with GGA-PBE.

a b c (Å): 6.7705 6.7705 5.3228
angles (deg): 90.00 90.00 90.00
With the nearest neighbours (Å) after each atom.
Space group P4/mbm (No. 127)
Unique sites:
Hg (0.1722, 0.3278, 0.0000) x4  2 Sb 3.07, 1 Hg 3.30
Sb (0.1678, 0.6678, 0.5000) x4  2 F 2.52
F (0.0000, 0.0000, 0.5000) x2  4 Sb 2.52

Summary:
- electronic total energy (eV per formula unit) = -12.2
- raw formation energy (eV per atom) = -0.30
- magnetic moment (Bohr magnetons per cell) = 0.000

A relaxed structure of HgSbF3, computed with GGA-PBE.

a b c (Å): 9.3958 4.9708 12.4121
angles (deg): 90.00 126.63 90.00
With the nearest neighbours (Å) after each atom.
Space group P2_1/c (No. 14)
Unique sites:
Hg (0.1534, 0.2402, 0.0521) x4  6 F 3.30-3.64, 2 Sb 3.35-3.57, 2 Hg 3.35-3.49
Sb (0.2598, 0.5117, 0.3584) x4  3 F 1.94-2.00
F (0.0925, 0.7035, 0.8282) x4  1 Sb 1.98
F (0.3316, 0.7478, 0.2740) x4  1 Sb 1.94
F (0.4382, 0.6897, 0.5344) x4  1 Sb 2.00

Summary:
- electronic total energy (eV per formula unit) = -19.1
- raw formation energy (eV per atom) = -1.82
- energy above the lowest structure with this stoichiometry (eV/atom) = 0.0000
- magnetic moment (Bohr magnetons per cell) = 0.000

A relaxed structure of Hg2SbF8, computed with GGA-PBE.

a b c (Å): 10.6820 8.0485 4.5816
angles (deg): 90.00 94.12 90.00
With the nearest neighbours (Å) after each atom.
Space group C2/m (No. 12)
Unique sites:
Hg (0.1242, 0.0000, 0.2792) x4  4 F 2.29-2.55
Sb (0.0000, 0.5000, 0.0000) x2  6 F 1.93
F (0.0855, 0.3285, 0.2301) x8  1 Sb 1.93
F (0.1114, 0.0000, 0.7754) x4  3 Hg 2.29-2.51
F (0.1379, 0.5000, 0.7504) x4  1 Sb 1.93

Summary:
- electronic total energy (eV per formula unit) = -39.8
- raw formation energy (eV per atom) = -1.83
- energy above the lowest structure with this stoichiometry (eV/atom) = 0.0000
- magnetic moment (Bohr magnetons per cell) = 0.000

A relaxed structure of HgSbF4, computed with GGA-PBE.

a b c (Å): 8.2086 4.4507 7.2148
angles (deg): 90.00 90.00 90.00
With the nearest neighbours (Å) after each atom.
Space group Pmn2_1 (No. 31)
Unique sites:
Hg (0.0000, 0.2170, 0.0000) x2  2 F 2.22-2.24
Sb (0.0000, 0.5498, 0.4624) x2  3 F 1.94-2.06
F (0.0000, 0.0897, 0.4910) x2  1 Sb 2.06
F (0.0000, 0.7192, 0.0253) x2  2 Hg 2.22-2.24
F (0.1705, 0.5676, 0.6484) x4  1 Sb 1.94

Summary:
- electronic total energy (eV per formula unit) = -22.6
- raw formation energy (eV per atom) = -1.78
- magnetic moment (Bohr magnetons per cell) = 0.000

A relaxed structure of Hg2SbF, computed with GGA-PBE.

a b c (Å): 5.7137 5.7137 14.2297
angles (deg): 90.00 90.00 90.00
With the nearest neighbours (Å) after each atom.
Space group I-42d (No. 122)
Unique sites:
Hg (0.2262, 0.2500, 0.1250) x8  2 F 2.62, 2 Sb 2.77
Sb (0.0000, 0.0000, 0.5000) x4  4 Hg 2.77
F (0.0000, 0.0000, 0.0000) x4  4 Hg 2.62

Summary:
- electronic total energy (eV per formula unit) = -8.4
- raw formation energy (eV per atom) = -0.45
- energy above the lowest structure with this stoichiometry (eV/atom) = 0.0000
- magnetic moment (Bohr magnetons per cell) = 0.000

A relaxed structure of HgSbF6, computed with GGA-PBE.

a b c (Å): 6.6417 7.7060 5.0921
angles (deg): 90.00 101.56 90.00
With the nearest neighbours (Å) after each atom.
Space group C2/m (No. 12)
Unique sites:
Hg (0.0000, 0.0000, 0.0000) x2  12 F 2.84-3.06
Sb (0.0000, 0.5000, 0.5000) x2  6 F 1.93
F (0.0943, 0.3254, 0.7679) x8  1 Sb 1.93
F (0.2297, 0.0000, 0.5851) x4  1 Sb 1.93

Summary:
- electronic total energy (eV per formula unit) = -31.3
- raw formation energy (eV per atom) = -1.96
- magnetic moment (Bohr magnetons per cell) = 0.000

A relaxed structure of HgSbF3, computed with GGA-PBE.

a b c (Å): 4.5722 4.5722 4.5722
angles (deg): 90.00 90.00 90.00
With the nearest neighbours (Å) after each atom.
Space group Pm-3m (No. 221)
Unique sites:
Hg (0.0000, 0.0000, 0.0000) x1  6 F 2.29
Sb (0.5000, 0.5000, 0.5000) x1  12 F 3.23
F (0.0000, 0.0000, 0.5000) x3  2 Hg 2.29

Summary:
- electronic total energy (eV per formula unit) = -14.2
- raw formation energy (eV per atom) = -0.83
- energy above the lowest structure with this stoichiometry (eV/atom) = 0.9820
- magnetic moment (Bohr magnetons per cell) = 0.000